No. 1
! CaCdIn2 SCAN single point on PBEsol structure; values from VASP
! - Formation enthalpy at 0 K: -0.325 eV/atom
! - Magnetization: 0.0 μB per cell
&SYSTEM
  ibrav = 0, nat = 4, ntyp = 3
/
ATOMIC_SPECIES
Ca 40.08 Ca.upf
In 114.82 In.upf
Cd 112.41 Cd.upf
CELL_PARAMETERS angstrom
3.412 0.000 0.000
0.000 4.970 0.000
0.000 0.000 5.976
ATOMIC_POSITIONS angstrom
Ca 0.000 0.000 2.992
In 1.706 2.485 4.408
In 1.706 0.000 0.037
Cd 1.706 2.485 1.526

---

No. 2
! Ni2OsRh SCAN single point on PBEsol structure; values from VASP
! - Formation enthalpy at 0 K: 0.135 eV/atom
! - Magnetization: 0.0 μB per cell
&SYSTEM
  ibrav = 0, nat = 4, ntyp = 3
/
ATOMIC_SPECIES
Ni 58.69 Ni.upf
Rh 102.91 Rh.upf
Os 190.23 Os.upf
CELL_PARAMETERS angstrom
2.621 0.000 0.000
1.310 2.270 0.000
1.310 0.757 8.258
ATOMIC_POSITIONS angstrom
Ni 1.310 0.757 2.083
Ni 3.931 2.270 6.174
Rh 0.000 0.000 0.000
Os 2.621 1.513 4.129

---

No. 3
! Li2VSiO4 SCAN single point on PBEsol structure; values from VASP
! - Magnetization: 6.0 μB per cell
! - ΔE_f (raw): -245.8 kJ/mol of atoms
&SYSTEM
  ibrav = 0, nat = 16, ntyp = 4
/
ATOMIC_SPECIES
O 16.00 O.upf
Li 6.94 Li.upf
Si 28.09 Si.upf
V 50.94 V.upf
CELL_PARAMETERS angstrom
-4.432 -0.901 0.856
1.036 -0.293 5.055
-1.213 6.568 0.630
ATOMIC_POSITIONS angstrom
O -4.507 3.738 2.782
O -2.970 -1.018 4.892
O -4.008 1.033 2.522
O -3.809 2.202 5.431
O -2.006 4.656 4.325
O -2.027 2.905 1.526
O -1.723 -0.423 1.090
O -1.292 0.793 3.954
Li -3.945 0.559 4.415
Li -2.094 1.116 2.205
Li -2.700 4.397 2.519
Li -4.552 3.846 4.730
Si -0.446 3.231 1.175
Si -1.371 -0.697 4.629
V -1.822 2.637 4.722
V -4.041 -0.925 1.863

---

No. 4
! La2SbIr SCAN single point on PBEsol structure; values from VASP
! - Magnetization: 0.0 μB per cell
! - ΔE_f (raw): -98.5 kJ/mol of atoms
&SYSTEM
  ibrav = 0, nat = 4, ntyp = 3
/
ATOMIC_SPECIES
La 138.91 La.upf
Sb 121.76 Sb.upf
Ir 192.22 Ir.upf
CELL_PARAMETERS angstrom
-2.540 1.094 3.329
-2.408 -3.521 -0.680
4.638 -3.537 1.888
ATOMIC_POSITIONS angstrom
La 2.084 -2.429 5.201
La 0.728 -3.476 1.698
Sb 0.121 -0.687 3.131
Ir -2.211 -1.447 1.602

---

No. 5
! Ba3Pt SCAN single point on PBEsol structure; values from VASP
! - Formation enthalpy at 0 K: -0.451 eV/atom
! - Magnetization: 0.1 μB per cell
&SYSTEM
  ibrav = 0, nat = 4, ntyp = 2
/
ATOMIC_SPECIES
Ba 137.33 Ba.upf
Pt 195.08 Pt.upf
CELL_PARAMETERS angstrom
4.155 0.000 0.000
2.077 6.969 -0.016
2.077 3.156 6.213
ATOMIC_POSITIONS angstrom
Ba 4.155 8.210 5.423
Ba 2.077 4.952 3.279
Ba 4.155 1.562 1.354
Pt 4.155 6.163 1.301

---

No. 6
! MgZn4 SCAN single point on PBEsol structure; values from VASP
! - Formation enthalpy at 0 K: -0.029 eV/atom
! - Magnetization: 0.0 μB per cell
&SYSTEM
  ibrav = 0, nat = 5, ntyp = 2
/
ATOMIC_SPECIES
Zn 65.41 Zn.upf
Mg 24.30 Mg.upf
CELL_PARAMETERS angstrom
3.981 0.000 0.000
1.991 4.389 0.000
1.991 0.000 4.389
ATOMIC_POSITIONS angstrom
Zn 1.991 1.721 0.948
Zn 3.981 3.441 1.721
Zn 3.981 0.948 2.668
Zn 5.972 2.668 3.441
Mg 0.000 0.000 0.000